No. 1
This record from Alexandria describes an optimized crystal structure of BaCd2Rh. The functional is PBE.

Values from the calculation:
Raw total energy ... -2.689 eV per atom
E_form ... 0.087 eV per atom

POSCAR file:
```
BaCd2Rh
1.0
4.2929 0.0000 0.0000
0.0000 4.4381 0.0000
0.0000 0.0000 5.3906
Ba Cd Rh
1 2 1
Direct
0.0000 0.0000 0.0000
0.0000 0.5000 0.5000
0.5000 0.0000 0.5000
0.5000 0.5000 0.0000
```

***

No. 2
This record from Alexandria describes an optimized crystal structure of BaCd2Rh2. The functional is PBE.

Values from the calculation:
Distance to the lowest polymorph of the same formula ... 1.86 kcal/mol of atoms
Raw total energy ... -3.801 eV per atom
E_form ... -0.110 eV per atom

POSCAR file:
```
BaCd2Rh2
1.0
8.0960 0.0000 0.0000
0.0000 8.0960 0.0000
0.0000 0.0000 3.2356
Ba Cd Rh
2 4 4
Direct
0.0000 0.0000 0.0000
0.5000 0.5000 0.0000
0.1367 0.3633 0.5000
0.3633 0.8633 0.5000
0.6367 0.1367 0.5000
0.8633 0.6367 0.5000
0.1549 0.6549 0.0000
0.3451 0.1549 0.0000
0.6549 0.8451 0.0000
0.8451 0.3451 0.0000
```